{
  "formula": "Y2Cr3O12",
  "functional": "PBE+U",
  "state": "relaxed",
  "lattice": [[16.197, 0.010, -0.006], [14.578, 5.790, -0.006], [1.619, -2.367, 5.273]],
  "species": ["Cr", "Y", "O", "Cr", "O", "Y", "O", "O", "O", "Cr", "O", "O", "Y", "O", "O", "O", "O", "O", "O", "Y", "O", "Cr", "O", "O", "O", "O", "Cr", "O", "Cr", "O", "O", "O", "O", "O"],
  "fractional_positions": [[0.164, 0.164, 0.836], [0.920, 0.920, 0.580], [0.026, 0.537, 0.663], [0.414, 0.414, 0.086], [0.056, 0.557, 0.120], [0.330, 0.330, 0.670], [0.379, 0.853, 0.305], [0.267, 0.120, 0.557], [0.130, 0.983, 0.194], [0.086, 0.086, 0.414], [0.713, 0.224, 0.476], [0.983, 0.130, 0.693], [0.670, 0.670, 0.330], [0.774, 0.663, 0.537], [0.476, 0.587, 0.713], [0.557, 0.056, 0.267], [0.945, 0.787, 0.871], [0.853, 0.379, 0.463], [0.663, 0.774, 0.026], [0.580, 0.580, 0.920], [0.224, 0.713, 0.587], [0.500, 0.500, 0.500], [0.537, 0.026, 0.774], [0.120, 0.267, 0.056], [0.463, 0.305, 0.853], [0.871, 0.397, 0.945], [0.836, 0.836, 0.164], [0.397, 0.871, 0.787], [0.750, 0.750, 0.750], [0.693, 0.194, 0.983], [0.194, 0.693, 0.130], [0.787, 0.945, 0.397], [0.587, 0.476, 0.224], [0.305, 0.463, 0.379]],
  "polymorph_energy_ev_per_atom": 0.000,
  "density_g_cm3": 3.5,
  "total_energy_ev_per_atom": -7.499
}